Material: LiSbO2
Method: DFT, GGA-PBE
State: optimized geometry

Results
formation energy (no corrections) = -1.31 eV per atom
density of states at the Fermi level = 0.00 states/eV per cell

abc: 6.1903 6.1903 6.1903
angles: 134.31 134.31 66.60
Atoms (fractional coordinates):
Li: 0.0000 0.0000 0.0000
Li: 0.7500 0.2500 0.5000
Sb: 0.2500 0.7500 0.5000
Sb: 0.5000 0.5000 0.0000
O: 0.1068 0.6250 0.9818
O: 0.3750 0.3568 0.4818
O: 0.6432 0.1250 0.0182
O: 0.8750 0.8932 0.5182

=====

Material: Li5SbO4
Method: DFT, GGA-PBE
State: optimized geometry

Results
formation energy (no corrections) = -1.65 eV per atom
distance to the lowest polymorph of the same formula = 0.095 eV/atom

abc: 6.2787 7.8466 4.6730
angles: 90.00 90.00 90.00
Atoms (fractional coordinates):
Li: 0.0066 0.0727 0.2409
Li: 0.0066 0.4273 0.2409
Li: 0.2500 0.7500 0.2132
Li: 0.4934 0.0727 0.2409
Li: 0.4934 0.4273 0.2409
Li: 0.5066 0.5727 0.7591
Li: 0.5066 0.9273 0.7591
Li: 0.7500 0.2500 0.7868
Li: 0.9934 0.5727 0.7591
Li: 0.9934 0.9273 0.7591
Sb: 0.2500 0.2500 0.8288
Sb: 0.7500 0.7500 0.1712
O: 0.0159 0.2500 0.5423
O: 0.2500 0.5270 0.9743
O: 0.2500 0.9730 0.9743
O: 0.4841 0.2500 0.5423
O: 0.5159 0.7500 0.4577
O: 0.7500 0.0270 0.0257
O: 0.7500 0.4730 0.0257
O: 0.9841 0.7500 0.4577

=====

Material: LiSbO2
Method: DFT, GGA-PBE
State: optimized geometry

Results
formation energy (no corrections) = -1.64 eV per atom
density of states at the Fermi level = 0.00 states/eV per cell

abc: 4.9879 18.4130 5.7007
angles: 90.00 90.04 90.00
Atoms (fractional coordinates):
Li: 0.2345 0.2133 0.4585
Li: 0.2345 0.2867 0.9585
Li: 0.2653 0.7135 0.3734
Li: 0.2653 0.7865 0.8734
Li: 0.7347 0.2135 0.1266
Li: 0.7347 0.2865 0.6266
Li: 0.7655 0.7133 0.0415
Li: 0.7655 0.7867 0.5415
Sb: 0.2416 0.6028 0.9178
Sb: 0.2416 0.8972 0.4178
Sb: 0.2586 0.1031 0.0027
Sb: 0.2586 0.3969 0.5027
Sb: 0.7414 0.6031 0.4973
Sb: 0.7414 0.8969 0.9973
Sb: 0.7584 0.1028 0.5822
Sb: 0.7584 0.3972 0.0822
O: 0.1324 0.6222 0.5791
O: 0.1324 0.8778 0.0791
O: 0.1626 0.6975 0.0401
O: 0.1626 0.8025 0.5401
O: 0.3375 0.1977 0.1252
O: 0.3375 0.3023 0.6252
O: 0.3675 0.1221 0.6643
O: 0.3675 0.3779 0.1643
O: 0.6325 0.6221 0.8357
O: 0.6325 0.8779 0.3357
O: 0.6625 0.6977 0.3748
O: 0.6625 0.8023 0.8748
O: 0.8374 0.1975 0.4599
O: 0.8374 0.3025 0.9599
O: 0.8676 0.1222 0.9209
O: 0.8676 0.3778 0.4209

=====

Material: LiSb3O
Method: DFT, GGA-PBE
State: optimized geometry

Results
formation energy (no corrections) = 0.69 eV per atom
density of states at the Fermi level = 16.51 states/eV per cell
distance to the lowest polymorph of the same formula = 0.857 eV/atom

abc: 4.8455 4.8455 4.8455
angles: 90.00 90.00 90.00
Atoms (fractional coordinates):
Li: 0.0000 0.0000 0.0000
Sb: 0.0000 0.0000 0.5000
Sb: 0.0000 0.5000 0.0000
Sb: 0.5000 0.0000 0.0000
O: 0.5000 0.5000 0.5000

=====

Material: LiSb2O
Method: DFT, GGA-PBE
State: optimized geometry

Results
formation energy (no corrections) = -0.86 eV per atom
density of states at the Fermi level = 1.30 states/eV per cell

abc: 9.1410 9.1410 5.6597
angles: 96.54 96.54 19.95
Atoms (fractional coordinates):
Li: 0.0000 0.0000 0.0000
Li: 0.0711 0.0711 0.4133
Sb: 0.4307 0.4307 0.4555
Sb: 0.6626 0.6626 0.9100
Sb: 0.7345 0.7345 0.4334
Sb: 0.8230 0.8230 0.9541
O: 0.5108 0.5108 0.2327
O: 0.9906 0.9906 0.6435

=====

Material: LiSbO2
Method: DFT, GGA-PBE
State: optimized geometry

Results
formation energy (no corrections) = -1.61 eV per atom
density of states at the Fermi level = 0.00 states/eV per cell

abc: 5.8909 5.8909 5.3378
angles: 112.83 112.83 106.31
Atoms (fractional coordinates):
Li: 0.0431 0.9569 0.7500
Li: 0.9569 0.0431 0.2500
Sb: 0.4012 0.5988 0.2500
Sb: 0.5988 0.4012 0.7500
O: 0.2368 0.3013 0.7402
O: 0.3013 0.2368 0.2402
O: 0.6987 0.7632 0.7598
O: 0.7632 0.6987 0.2598

=====

Material: LiSb2O
Method: DFT, GGA-PBE
State: optimized geometry

Results
formation energy (no corrections) = -0.30 eV per atom
density of states at the Fermi level = 2.90 states/eV per cell

abc: 8.1426 8.1426 8.1426
angles: 143.77 143.77 52.16
Atoms (fractional coordinates):
Li: 0.0000 0.0000 0.0000
Li: 0.7500 0.2500 0.5000
Sb: 0.2334 0.6250 0.1084
Sb: 0.3750 0.4834 0.6084
Sb: 0.5166 0.1250 0.8916
Sb: 0.8750 0.7666 0.3916
O: 0.2500 0.7500 0.5000
O: 0.5000 0.5000 0.0000

=====

Material: Li4SbO
Method: DFT, GGA-PBE
State: optimized geometry

Results
formation energy (no corrections) = -1.13 eV per atom
density of states at the Fermi level = 4.37 states/eV per cell

abc: 7.6304 7.6304 6.8265
angles: 90.00 90.00 152.78
Atoms (fractional coordinates):
Li: 0.0000 0.0000 0.0000
Li: 0.0000 0.0000 0.5000
Li: 0.1770 0.8230 0.5676
Li: 0.1770 0.8230 0.9324
Li: 0.4387 0.5613 0.2500
Li: 0.5613 0.4387 0.7500
Li: 0.8230 0.1770 0.0676
Li: 0.8230 0.1770 0.4324
Sb: 0.3579 0.6421 0.7500
Sb: 0.6421 0.3579 0.2500
O: 0.0827 0.9173 0.7500
O: 0.9173 0.0827 0.2500

=====

Material: LiSb2O
Method: DFT, GGA-PBE
State: optimized geometry

Results
formation energy (no corrections) = -0.88 eV per atom
density of states at the Fermi level = 1.78 states/eV per cell

abc: 3.2165 6.0060 9.8786
angles: 95.34 94.89 105.12
Atoms (fractional coordinates):
Li: 0.0000 0.0000 0.0000
Li: 0.2674 0.6105 0.8508
Sb: 0.0162 0.4900 0.1731
Sb: 0.1417 0.5443 0.4636
Sb: 0.4954 0.1230 0.7381
Sb: 0.8626 0.0780 0.3194
O: 0.4487 0.9482 0.9010
O: 0.6777 0.4394 0.8290

=====

Material: Li5SbO4
Method: DFT, GGA-PBE
State: optimized geometry

Results
formation energy (no corrections) = -1.74 eV per atom
density of states at the Fermi level = 0.00 states/eV per cell
distance to the lowest polymorph of the same formula = 0.000 eV/atom

abc: 5.0817 6.0143 7.8424
angles: 90.00 102.27 90.00
Atoms (fractional coordinates):
Li: 0.1680 0.2500 0.2114
Li: 0.2600 0.0126 0.5337
Li: 0.2600 0.4874 0.5337
Li: 0.3293 0.5153 0.8899
Li: 0.3293 0.9847 0.8899
Li: 0.6707 0.0153 0.1101
Li: 0.6707 0.4847 0.1101
Li: 0.7400 0.5126 0.4663
Li: 0.7400 0.9874 0.4663
Li: 0.8320 0.7500 0.7886
Sb: 0.1721 0.7500 0.2181
Sb: 0.8279 0.2500 0.7819
O: 0.0174 0.5030 0.6995
O: 0.0174 0.9970 0.6995
O: 0.3956 0.2500 0.0476
O: 0.4587 0.7500 0.4390
O: 0.5413 0.2500 0.5610
O: 0.6044 0.7500 0.9524
O: 0.9826 0.0031 0.3005
O: 0.9826 0.4970 0.3005

=====

Material: LiSbO2
Method: DFT, GGA-PBE
State: optimized geometry

Results
formation energy (no corrections) = -1.21 eV per atom
density of states at the Fermi level = 0.82 states/eV per cell

abc: 6.2438 6.2438 6.2438
angles: 32.54 32.54 32.54
Atoms (fractional coordinates):
Li: 0.0000 0.0000 0.0000
Sb: 0.5000 0.5000 0.5000
O: 0.1004 0.1004 0.1004
O: 0.8996 0.8996 0.8996

=====

Material: Li3SbO
Method: DFT, GGA-PBE
State: optimized geometry

Results
formation energy (no corrections) = -1.20 eV per atom
density of states at the Fermi level = 0.86 states/eV per cell
distance to the lowest polymorph of the same formula = 0.000 eV/atom

abc: 5.5534 5.5534 8.0574
angles: 104.51 104.51 40.64
Atoms (fractional coordinates):
Li: 0.0637 0.0637 0.1382
Li: 0.1261 0.1261 0.7076
Li: 0.3227 0.3227 0.0369
Li: 0.6773 0.6773 0.9631
Li: 0.8739 0.8739 0.2924
Li: 0.9363 0.9363 0.8618
Sb: 0.3657 0.3657 0.5583
Sb: 0.6343 0.6343 0.4417
O: 0.1286 0.1286 0.9387
O: 0.8714 0.8714 0.0613

=====

Material: LiSbO2
Method: DFT, GGA-PBE
State: optimized geometry

Results
formation energy (no corrections) = -0.83 eV per atom
density of states at the Fermi level = 0.19 states/eV per cell

abc: 2.9447 2.9447 5.7815
angles: 90.00 90.00 90.00
Atoms (fractional coordinates):
Li: 0.0000 0.0000 0.0000
Sb: 0.0000 0.0000 0.5000
O: 0.5000 0.5000 0.2617
O: 0.5000 0.5000 0.7383

=====

Material: Li8SbO6
Method: DFT, GGA-PBE
State: optimized geometry

Results
formation energy (no corrections) = -1.75 eV per atom
density of states at the Fermi level = 3.89 states/eV per cell

abc: 6.1717 6.1717 6.1717
angles: 53.75 53.75 53.75
Atoms (fractional coordinates):
Li: 0.0093 0.7309 0.3980
Li: 0.1539 0.1539 0.1539
Li: 0.2691 0.6020 0.9907
Li: 0.3980 0.0093 0.7309
Li: 0.6020 0.9907 0.2691
Li: 0.7309 0.3980 0.0093
Li: 0.8461 0.8461 0.8461
Li: 0.9907 0.2691 0.6020
Sb: 0.5000 0.5000 0.5000
O: 0.1099 0.4042 0.7381
O: 0.2619 0.8901 0.5958
O: 0.4042 0.7381 0.1099
O: 0.5958 0.2619 0.8901
O: 0.7381 0.1099 0.4042
O: 0.8901 0.5958 0.2619

=====

Material: Li3SbO3
Method: DFT, GGA-PBE
State: optimized geometry

Results
formation energy (no corrections) = -1.76 eV per atom
density of states at the Fermi level = 0.00 states/eV per cell
distance to the lowest polymorph of the same formula = 0.000 eV/atom

abc: 7.5386 7.5386 7.5386
angles: 109.47 109.47 109.47
Atoms (fractional coordinates):
Li: 0.0000 0.4665 0.7117
Li: 0.0000 0.7117 0.4665
Li: 0.2452 0.5335 0.5335
Li: 0.2883 0.2883 0.7548
Li: 0.2883 0.7548 0.2883
Li: 0.4665 0.0000 0.7117
Li: 0.4665 0.7117 0.0000
Li: 0.5335 0.2452 0.5335
Li: 0.5335 0.5335 0.2452
Li: 0.7117 0.0000 0.4665
Li: 0.7117 0.4665 0.0000
Li: 0.7548 0.2883 0.2883
Sb: 0.0000 0.0000 0.2806
Sb: 0.0000 0.2806 0.0000
Sb: 0.2806 0.0000 0.0000
Sb: 0.7194 0.7194 0.7194
O: 0.0000 0.2378 0.4941
O: 0.0000 0.4941 0.2378
O: 0.2378 0.0000 0.4941
O: 0.2378 0.4941 0.0000
O: 0.2563 0.7622 0.7622
O: 0.4941 0.0000 0.2378
O: 0.4941 0.2378 0.0000
O: 0.5059 0.5059 0.7437
O: 0.5059 0.7437 0.5059
O: 0.7437 0.5059 0.5059
O: 0.7622 0.2563 0.7622
O: 0.7622 0.7622 0.2563

=====

Material: LiSbO2
Method: DFT, GGA-PBE
State: optimized geometry

Results
formation energy (no corrections) = -1.61 eV per atom
density of states at the Fermi level = 0.00 states/eV per cell

abc: 5.9588 6.2879 9.9744
angles: 90.00 125.33 90.00
Atoms (fractional coordinates):
Li: 0.0418 0.1045 0.1255
Li: 0.0418 0.8955 0.6255
Li: 0.9582 0.1045 0.3745
Li: 0.9582 0.8955 0.8745
Sb: 0.4354 0.2082 0.8862
Sb: 0.4354 0.7918 0.3862
Sb: 0.5646 0.2082 0.6138
Sb: 0.5646 0.7918 0.1138
O: 0.2353 0.1614 0.6188
O: 0.2353 0.8386 0.1188
O: 0.2929 0.0899 0.3664
O: 0.2929 0.9101 0.8664
O: 0.7071 0.0899 0.1336
O: 0.7071 0.9101 0.6336
O: 0.7647 0.1614 0.8812
O: 0.7647 0.8386 0.3812

=====

Material: Li3SbO3
Method: DFT, GGA-PBE
State: optimized geometry

Results
formation energy (no corrections) = -1.68 eV per atom
density of states at the Fermi level = 0.00 states/eV per cell
distance to the lowest polymorph of the same formula = 0.085 eV/atom

abc: 7.2010 7.2010 7.2010
angles: 90.00 90.00 90.00
Atoms (fractional coordinates):
Li: 0.0343 0.4657 0.5343
Li: 0.2352 0.7648 0.2648
Li: 0.2455 0.2455 0.2455
Li: 0.2545 0.7545 0.7455
Li: 0.2648 0.2352 0.7648
Li: 0.4657 0.5343 0.0343
Li: 0.5343 0.0343 0.4657
Li: 0.7352 0.7352 0.7352
Li: 0.7455 0.2545 0.7545
Li: 0.7545 0.7455 0.2545
Li: 0.7648 0.2648 0.2352
Li: 0.9657 0.9657 0.9657
Sb: 0.0205 0.9795 0.4795
Sb: 0.4795 0.0205 0.9795
Sb: 0.5205 0.5205 0.5205
Sb: 0.9795 0.4795 0.0205
O: 0.0067 0.7412 0.1011
O: 0.1011 0.0067 0.7412
O: 0.2412 0.3989 0.9933
O: 0.2588 0.6011 0.4933
O: 0.3989 0.9933 0.2412
O: 0.4933 0.2588 0.6011
O: 0.5067 0.7588 0.8989
O: 0.6011 0.4933 0.2588
O: 0.7412 0.1011 0.0067
O: 0.7588 0.8989 0.5067
O: 0.8989 0.5067 0.7588
O: 0.9933 0.2412 0.3989

=====

Material: LiSb2O
Method: DFT, GGA-PBE
State: optimized geometry

Results
formation energy (no corrections) = -0.88 eV per atom
density of states at the Fermi level = 1.86 states/eV per cell

abc: 3.2192 6.0010 9.9169
angles: 81.38 87.24 75.06
Atoms (fractional coordinates):
Li: 0.0000 0.0000 0.0000
Li: 0.3254 0.3971 0.8517
Sb: 0.3632 0.9596 0.3884
Sb: 0.3713 0.8939 0.6781
Sb: 0.5798 0.4877 0.5323
Sb: 0.7270 0.5081 0.1128
O: 0.5800 0.8286 0.0232
O: 0.8383 0.3403 0.9501

=====

Material: LiSc2SbO6
Method: DFT, GGA-PBE
State: optimized geometry

Results
formation energy (no corrections) = -2.59 eV per atom
density of states at the Fermi level = 0.00 states/eV per cell

abc: 5.7406 5.7406 5.7406
angles: 55.39 55.39 55.39
Atoms (fractional coordinates):
Li: 0.0000 0.0000 0.0000
Sc: 0.2672 0.2672 0.2672
Sc: 0.7721 0.7721 0.7721
Sb: 0.4700 0.4700 0.4700
O: 0.0819 0.6594 0.3904
O: 0.1988 0.5547 0.8538
O: 0.3904 0.0819 0.6594
O: 0.5547 0.8538 0.1988
O: 0.6594 0.3904 0.0819
O: 0.8538 0.1988 0.5547